(1)
First-principles (GGA-PBE) data for a geometry-optimized SiTc2Se structure, as listed in Alexandria via LeMat-Bulk.

POSCAR file:
```
SiTc2Se
1.0
-2.2117 -4.0567 1.7801
2.8933 -3.9317 -0.8295
-0.1794 4.3461 2.3658
Tc Si Se
2 1 1
Direct
0.0275 0.0275 0.0000
0.4725 0.4725 0.0000
0.2500 0.7500 0.5000
0.7500 0.2500 0.5000
```

Properties
volume: 60.9 Å³ per cell
total magnetic moment: 0.00 μB per formula unit
raw formation energy: 26.5 kJ per mole of atoms
energy above the lowest structure with this stoichiometry: 389 meV/atom
DFT total energy: -7.135 eV per atom

(2)
First-principles (GGA-PBE) data for a geometry-optimized SiTcSe2 structure, as listed in Alexandria via LeMat-Bulk.

POSCAR file:
```
SiTcSe2
1.0
4.8002 0.0036 0.0000
1.2048 4.6465 0.0000
-3.0025 -2.3250 2.9361
Se Tc Si
2 1 1
Direct
0.0000 0.0000 0.0000
0.2500 0.7500 0.5000
0.7500 0.2500 0.5000
0.5000 0.5000 0.0000
```

Properties
volume: 65.5 Å³ per cell
total magnetic moment: 0.00 μB per formula unit
raw formation energy: 51.9 kJ per mole of atoms
DFT total energy: -5.152 eV per atom

(3)
First-principles (GGA-PBE) data for a geometry-optimized SiTcSe2 structure, as listed in Alexandria via LeMat-Bulk.

POSCAR file:
```
SiTcSe2
1.0
-0.4750 4.4485 1.3831
-3.4643 -1.2668 2.8847
2.0303 -0.4763 2.2291
Se Tc Si
2 1 1
Direct
0.0000 0.0000 0.0000
0.5000 0.5000 0.0000
0.0000 0.5000 0.5000
0.5000 0.0000 0.5000
```

Properties
volume: 66.9 Å³ per cell
total magnetic moment: 0.87 μB per formula unit
raw formation energy: 47.2 kJ per mole of atoms
DFT total energy: -5.200 eV per atom

(4)
First-principles (GGA-PBE) data for a geometry-optimized SiTcSe2 structure, as listed in Alexandria via LeMat-Bulk.

POSCAR file:
```
SiTcSe2
1.0
-7.3036 4.5023 3.1143
-8.2088 3.9905 0.0536
-8.6736 1.6952 2.2819
Tc Se Si
1 2 1
Direct
0.7557 0.7557 0.7557
0.0296 0.0296 0.0296
0.2198 0.2198 0.2198
0.4948 0.4948 0.4948
```

Properties
volume: 80.9 Å³ per cell
total magnetic moment: 0.00 μB per formula unit
raw formation energy: -18.0 kJ per mole of atoms
DFT total energy: -5.876 eV per atom

(5)
First-principles (GGA-PBE) data for a geometry-optimized SiTcSe2 structure, as listed in Alexandria via LeMat-Bulk.

POSCAR file:
```
SiTcSe2
1.0
-0.8463 3.9059 6.1534
-3.5329 -0.3457 6.4215
3.9586 -3.2461 -5.2563
Se Si Tc
2 1 1
Direct
0.3834 0.3834 0.0000
0.1166 0.1166 0.0000
0.7500 0.2500 0.5000
0.2500 0.7500 0.5000
```

Properties
volume: 86.6 Å³ per cell
total magnetic moment: 0.00 μB per formula unit
raw formation energy: -14.3 kJ per mole of atoms
DFT total energy: -5.838 eV per atom

(6)
First-principles (GGA-PBE) data for a geometry-optimized SiTcSe2 structure, as listed in Alexandria via LeMat-Bulk.

POSCAR file:
```
SiTcSe2
1.0
3.4701 0.0000 0.0000
0.0000 5.4609 0.2343
0.0000 3.1996 4.4101
Si Tc Se
1 1 2
Direct
0.5000 0.2500 0.2500
0.5000 0.7500 0.7500
0.0000 0.5627 0.5619
0.0000 0.9373 0.9381
```

Properties
volume: 81.0 Å³ per cell
total magnetic moment: 0.00 μB per formula unit
raw formation energy: 10.1 kJ per mole of atoms
DFT total energy: -5.585 eV per atom

(7)
First-principles (GGA-PBE) data for a geometry-optimized SiTc2Se structure, as listed in Alexandria via LeMat-Bulk.

POSCAR file:
```
SiTc2Se
1.0
3.0316 0.0000 0.0000
0.0000 3.0316 0.0000
0.0000 0.0000 6.1601
Se Tc Si
1 2 1
Direct
0.5000 0.5000 0.2500
0.0000 0.0000 0.9849
0.0000 0.0000 0.5151
0.5000 0.5000 0.7500
```

Properties
volume: 56.6 Å³ per cell
total magnetic moment: 0.00 μB per formula unit
raw formation energy: -11.1 kJ per mole of atoms
energy above the lowest structure with this stoichiometry: 0 meV/atom
DFT total energy: -7.525 eV per atom

(8)
First-principles (GGA-PBE) data for a geometry-optimized SiTcSe2 structure, as listed in Alexandria via LeMat-Bulk.

POSCAR file:
```
SiTcSe2
1.0
-3.8227 -2.5461 -3.3482
2.3124 -5.0513 1.2012
-4.2429 -4.3490 3.3269
Se Tc Si
4 2 2
Direct
0.1106 0.6250 0.2500
0.3750 0.3606 0.7500
0.8750 0.8894 0.7500
0.6394 0.1250 0.2500
0.0000 0.0000 0.0000
0.7500 0.2500 0.5000
0.2500 0.7500 0.5000
0.5000 0.5000 0.0000
```

Properties
volume: 182.3 Å³ per cell
total magnetic moment: 0.00 μB per formula unit
raw formation energy: 32.2 kJ per mole of atoms
DFT total energy: -5.356 eV per atom